Entry 1:
Computed, not measured: crystalline Cr2SiSe at its relaxed geometry at the PBE level of DFT.

Output
Its excess energy over the best structure of this formula in the dataset is 500 meV per atom. For the magnetic moment, the calculation gives 0.7 μB/cell. The uncorrected formation energy is 0.45 eV/atom. As for the total energy: -26.35 eV per cell. The space group is F-43m (216).

Geometry as POSCAR:
```
Cr2SiSe
1.0
-0.998 -1.087 4.131
-0.204 -4.223 1.169
3.076 -1.701 2.625
Cr Si Se
2 1 1
Direct
0.250 0.250 0.250
0.000 0.000 0.000
0.750 0.750 0.750
0.500 0.500 0.500
```

***

Entry 2:
Computed, not measured: crystalline CrSi2Se at its relaxed geometry at the PBE level of DFT.

Output
For the magnetic moment, the calculation gives 3.2 μB/cell. The uncorrected formation energy is 0.49 eV/atom. As for the total energy: -22.01 eV per cell. The space group is P4/mmm (123).

Geometry as POSCAR:
```
CrSi2Se
1.0
-0.679 2.120 -3.995
-1.147 -3.988 -1.921
-2.970 0.486 0.763
Cr Si Se
1 2 1
Direct
0.500 0.000 0.500
0.000 0.000 0.000
0.500 0.500 0.000
0.000 0.500 0.500
```

***

Entry 3:
Computed, not measured: crystalline CrSiSe2 at its relaxed geometry at the PBE level of DFT.

Output
For the magnetic moment, the calculation gives 3.1 μB/cell. The uncorrected formation energy is 0.14 eV/atom. As for the total energy: -21.45 eV per cell. The space group is Cmmm (65).

Geometry as POSCAR:
```
CrSiSe2
1.0
3.724 0.000 0.000
0.000 4.657 -0.021
0.000 1.394 4.444
Se Cr Si
2 1 1
Direct
0.000 0.986 0.986
0.000 0.514 0.514
0.500 0.750 0.750
0.500 0.250 0.250
```

***

Entry 4:
Computed, not measured: crystalline Cr2SiSe at its relaxed geometry at the PBE level of DFT.

Output
Its excess energy over the best structure of this formula in the dataset is 287 meV per atom. For the magnetic moment, the calculation gives 3.2 μB/cell. The uncorrected formation energy is 0.24 eV/atom. As for the total energy: -27.20 eV per cell. The space group is C2/m (12).

Geometry as POSCAR:
```
Cr2SiSe
1.0
-0.901 3.556 1.964
-3.101 2.768 0.196
-2.553 -1.627 3.902
Si Se Cr
1 1 2
Direct
0.250 0.250 0.250
0.750 0.750 0.750
0.996 0.996 0.001
0.504 0.504 0.499
```

***

Entry 5:
Computed, not measured: crystalline Cr2SiSe at its relaxed geometry at the PBE level of DFT.

Output
Its excess energy over the best structure of this formula in the dataset is 133 meV per atom. For the magnetic moment, the calculation gives 2.7 μB/cell. The uncorrected formation energy is 0.09 eV/atom. As for the total energy: -27.81 eV per cell. The space group is P4/mmm (123).

Geometry as POSCAR:
```
Cr2SiSe
1.0
-2.133 -1.896 0.753
1.824 -2.261 -0.525
1.878 0.176 5.763
Cr Si Se
2 1 1
Direct
0.000 0.000 0.508
0.000 0.000 0.992
0.500 0.500 0.750
0.500 0.500 0.250
```

***

Entry 6:
Computed, not measured: crystalline CrSiSe2 at its relaxed geometry at the PBE level of DFT.

Output
For the magnetic moment, the calculation gives 2.5 μB/cell. The uncorrected formation energy is 0.26 eV/atom. As for the total energy: -20.99 eV per cell. The space group is P4/mmm (123).

Geometry as POSCAR:
```
CrSiSe2
1.0
-1.670 1.696 2.105
-2.265 0.474 -2.178
-3.194 -5.721 2.076
Cr Se Si
1 2 1
Direct
0.500 0.500 0.750
0.000 0.000 0.966
0.000 0.000 0.534
0.500 0.500 0.250
```

***

> Which formula does entry 4 have?

Cr2SiSe

***

> Among the records above, which one has the lowest magnetic moment?

number 1